Here is a relaxed structure of Tl2CdHgPd from Alexandria via LeMat-Bulk. Energies are from PBE.

```
data_Tl2CdHgPd
_chemical_formula_sum 'Tl4 Cd2 Hg2 Pd2'
_cell_length_a 4.013
_cell_length_b 4.013
_cell_length_c 15.586
_cell_angle_alpha 90.00
_cell_angle_beta 90.00
_cell_angle_gamma 90.00
_symmetry_space_group_name_H-M 'P 4/n m m'
_symmetry_Int_Tables_number 129
loop_
_symmetry_equiv_pos_as_xyz
'x,y,z'
'-x,-y,-z'
'-y+1/2,x,z'
'y+1/2,-x,-z'
'-x+1/2,-y+1/2,z'
'x+1/2,y+1/2,-z'
'y,-x+1/2,z'
'-y,x+1/2,-z'
'x+1/2,-y,-z'
'-x+1/2,y,z'
'-y,-x,-z'
'y,x,z'
'-x,y+1/2,-z'
'x,-y+1/2,z'
'y+1/2,x+1/2,-z'
'-y+1/2,-x+1/2,z'
loop_
_atom_site_label
_atom_site_fract_x
_atom_site_fract_y
_atom_site_fract_z
Tl1 0.250 0.250 0.107
Tl2 0.250 0.250 0.746
Cd1 0.250 0.750 0.500
Hg1 0.250 0.250 0.344
Pd1 0.250 0.250 0.929
```

Values from the calculation:
Relative energy among the computed polymorphs (meV/atom): 62
Formation energy (kJ/mol of atoms): 2.0